No. 1
This record from Alexandria via LeMat-Bulk describes NaPrTiNbO6F after structural relaxation. The functional is PBEsol.

The structure in extended XYZ format:
```
44
Lattice="-0.665 5.261 -5.034 -7.219 0.186 1.148 1.357 7.213 7.360" Properties=species:S:1:pos:R:3 pbc="T T T"
Na -2.366 2.683 -2.194
Na -4.839 6.371 1.988
Na -3.748 5.676 -1.202
Na -2.779 6.985 4.676
Pr -4.589 3.743 4.518
Pr 0.838 6.832 4.159
Pr -1.951 0.050 0.310
Pr -0.146 5.642 -1.833
Ti 0.510 9.430 1.674
Ti -1.025 3.651 3.951
Ti 0.182 3.045 0.652
Ti -5.516 0.142 0.877
Nb -3.431 3.170 1.195
Nb -1.402 6.282 1.441
Nb -5.804 2.772 -1.647
Nb -3.096 9.491 2.279
O -6.029 9.373 4.659
O -5.978 4.617 -2.372
O -6.384 11.544 2.708
O -2.702 3.122 3.054
O -6.790 1.289 1.823
O 0.197 2.921 2.606
O -1.033 5.470 3.220
O -5.144 3.658 2.084
O -1.699 2.531 0.452
O -4.481 8.146 6.472
O -0.179 4.983 0.544
O -2.952 5.097 1.054
O -6.948 3.454 -0.159
O -2.694 7.542 2.280
O 0.102 7.512 1.904
O -3.235 9.368 4.260
O -5.022 9.097 1.969
O -1.562 7.089 -0.371
O -1.189 10.036 2.444
O -3.465 11.451 2.371
O -0.076 9.569 -0.189
O -2.977 9.518 0.285
O -3.909 1.232 1.238
O -4.172 3.316 -0.646
F -2.209 4.836 -2.497
F -4.657 6.022 4.132
F -5.313 6.728 -0.110
F -0.874 7.736 5.424
```

Values from the calculation:
- ΔE to the lowest computed polymorph: 0.000 eV/atom
- Space group: P4_122
- Formation energy (no corrections): -32.62 eV/f.u.

No. 2
This record from Alexandria via LeMat-Bulk describes SrMg2Cr after structural relaxation. The functional is PBEsol.

The structure in extended XYZ format:
```
4
Lattice="-1.935 2.356 1.148 -0.081 -3.973 4.628 5.250 3.239 -0.726" Properties=species:S:1:pos:R:3 pbc="T T T"
Cr -0.041 -1.987 2.314
Mg 2.625 1.620 -0.363
Mg 1.617 0.811 2.525
Sr -0.967 1.178 0.574
```

Values from the calculation:
- ΔE_f: 0.600 eV per atom
- Space group: C2/m

No. 3
This record from Alexandria via LeMat-Bulk describes LiPt2N after structural relaxation. The functional is PBEsol.

The structure in extended XYZ format:
```
8
Lattice="-1.776 -1.259 -4.696 4.853 -0.159 -1.793 -1.209 -4.942 4.636" Properties=species:S:1:pos:R:3 pbc="T T T"
Li 1.538 -0.709 -3.245
Li -0.724 -3.455 -1.653
Pt 2.229 -4.633 -1.027
Pt 3.118 -4.003 1.321
Pt 3.722 -1.532 -0.997
Pt 1.296 -1.452 -0.101
N 0.000 0.000 0.000
N 2.591 -2.905 -0.201
```

Values from the calculation:
- Space group: I4_1/amd
- Formation energy (no corrections): 0.86 eV/f.u.

No. 4
This record from Alexandria via LeMat-Bulk describes ZnGaFeO4 after structural relaxation. The functional is PBEsol.

The structure in extended XYZ format:
```
14
Lattice="5.848 0.000 0.000 -2.924 5.050 0.093 0.000 -3.274 4.635" Properties=species:S:1:pos:R:3 pbc="T T T"
Zn 2.924 1.742 2.967
Zn 0.000 0.035 1.761
Ga 1.462 2.525 0.047
Ga -1.462 2.525 0.047
Fe 2.924 -1.637 2.318
Fe 2.924 0.000 0.000
O 4.235 -2.375 3.533
O 1.613 -2.375 3.533
O -1.311 4.151 1.195
O 1.311 4.151 1.195
O 2.924 1.640 1.031
O 2.924 -0.116 3.518
O 0.000 0.137 3.697
O 0.000 1.893 1.210
```

Values from the calculation:
- Space group: Imma
- Formation energy (no corrections): -10.74 eV/f.u.

No. 5
This record from Alexandria via LeMat-Bulk describes NbPtS2 after structural relaxation. The functional is PBEsol.

The structure in extended XYZ format:
```
4
Lattice="3.314 0.000 0.000 1.657 2.870 0.000 1.657 0.957 7.598" Properties=species:S:1:pos:R:3 pbc="T T T"
Nb 0.000 0.000 0.000
S 4.971 2.870 2.383
S 1.657 0.957 5.215
Pt 3.314 1.913 3.799
```

Values from the calculation:
- Space group: R-3m
- Formation energy (no corrections): 0.09 eV/f.u.

No. 6
This record from Alexandria via LeMat-Bulk describes La4TlPt after structural relaxation. The functional is PBEsol.

The structure in extended XYZ format:
```
6
Lattice="-4.667 3.772 -1.516 -1.655 0.647 -5.929 -5.365 -2.359 -1.991" Properties=species:S:1:pos:R:3 pbc="T T T"
La -4.388 0.773 -3.543
La -7.060 -0.402 -4.534
La -6.712 2.652 -4.298
La -5.212 1.096 -6.496
Pt -8.765 1.545 -7.077
Tl 0.000 0.000 0.000
```

Values from the calculation:
- ΔE_f: 0.220 eV per atom
- Space group: F-43m

No. 7
This record from Alexandria via LeMat-Bulk describes NbFeC2 after structural relaxation. The functional is PBEsol.

The structure in extended XYZ format:
```
8
Lattice="4.429 0.000 0.000 0.000 4.429 0.000 -2.214 -2.214 4.663" Properties=species:S:1:pos:R:3 pbc="T T T"
C 1.347 3.322 1.166
C 3.082 1.107 1.166
C -1.107 -0.868 3.497
C 1.107 0.868 3.497
Nb 0.000 2.214 2.331
Nb 0.000 0.000 0.000
Fe 2.214 0.000 2.331
Fe 2.214 2.214 0.000
```

Values from the calculation:
- ΔE_f: 0.368 eV per atom
- Space group: I-42d

No. 8
This record from Alexandria via LeMat-Bulk describes LiBe2Cr after structural relaxation. The functional is PBEsol.

The structure in extended XYZ format:
```
4
Lattice="2.239 0.000 0.000 0.000 4.165 0.000 -1.120 -2.082 4.231" Properties=species:S:1:pos:R:3 pbc="T T T"
Cr 0.000 0.000 4.068
Be 0.000 0.000 0.133
Be 1.120 0.000 1.963
Li 0.000 2.082 2.298
```

Values from the calculation:
- ΔE to the lowest computed polymorph: 0.000 eV/atom
- ΔE_f: 0.261 eV per atom
- Space group: Imm2

No. 9
This record from Alexandria via LeMat-Bulk describes BeNiCl after structural relaxation. The functional is PBEsol.

The structure in extended XYZ format:
```
3
Lattice="3.810 0.000 0.000 1.905 3.300 0.000 1.905 1.100 3.111" Properties=species:S:1:pos:R:3 pbc="T T T"
Ni 3.810 2.200 1.555
Be 1.905 1.100 0.778
Cl 0.000 0.000 0.000
```

Values from the calculation:
- ΔE to the lowest computed polymorph: 0.645 eV/atom
- Space group: F-43m
- Formation energy (no corrections): 1.89 eV/f.u.

No. 10
This record from Alexandria via LeMat-Bulk describes TaCu3 after structural relaxation. The functional is PBEsol.

The structure in extended XYZ format:
```
4
Lattice="2.613 0.000 0.000 -1.306 4.338 -0.021 0.000 -0.738 4.623" Properties=species:S:1:pos:R:3 pbc="T T T"
Cu 1.306 1.576 3.400
Cu 0.000 2.024 1.202
Cu 0.000 -0.369 2.312
Ta 1.306 0.000 0.000
```

Values from the calculation:
- ΔE_f: 0.169 eV per atom
- Space group: C2/m

No. 11
This record from Alexandria via LeMat-Bulk describes Mn3BiW after structural relaxation. The functional is PBEsol.

The structure in extended XYZ format:
```
5
Lattice="-0.141 -1.925 -4.161 3.713 -2.490 1.026 -2.689 -3.337 1.635" Properties=species:S:1:pos:R:3 pbc="T T T"
Mn 1.857 -1.245 0.513
Mn -1.345 -1.668 0.818
Mn -0.071 -0.963 -2.080
Bi 0.441 -3.876 -0.750
W 0.000 0.000 0.000
```

Values from the calculation:
- ΔE_f: 1.327 eV per atom
- Space group: Pm-3m

No. 12
This record from Alexandria via LeMat-Bulk describes Mg2HRu after structural relaxation. The functional is PBEsol.

The structure in extended XYZ format:
```
8
Lattice="-2.282 -1.983 -1.293 3.110 -5.270 -1.588 -2.256 -3.317 4.887" Properties=species:S:1:pos:R:3 pbc="T T T"
Ru 0.000 0.000 0.000
Ru -1.285 -5.781 0.679
Mg -2.020 -4.022 2.417
Mg 1.163 -6.052 -0.088
Mg -0.214 -3.046 -0.177
Mg -1.784 -8.019 1.859
H -1.141 -0.991 -0.647
H -0.144 -4.789 1.326
```

Values from the calculation:
- Calculated total energy: -16.29 eV per formula unit
- Space group: I-42d

No. 13
This record from Alexandria via LeMat-Bulk describes Li4Nb2Co3Ni3O16 after structural relaxation. The functional is PBEsol.

The structure in extended XYZ format:
```
28
Lattice="5.685 -0.009 0.016 -2.838 5.001 -0.003 -0.020 -0.320 9.368" Properties=species:S:1:pos:R:3 pbc="T T T"
Li 0.002 3.369 0.942
Li -0.002 0.019 0.059
Li 2.838 4.804 4.749
Li 2.830 1.452 5.667
Nb -0.009 3.159 4.751
Nb 2.843 1.745 0.059
Co -1.419 3.899 7.356
Co 1.394 3.894 7.363
Co 2.841 3.212 2.674
Ni -0.016 1.428 7.363
Ni 1.433 0.750 2.667
Ni 4.245 0.746 2.675
O -1.468 3.947 3.787
O -0.008 4.586 6.282
O -0.017 3.079 8.280
O 2.835 4.733 6.527
O 2.844 4.866 1.850
O 1.462 3.940 3.798
O -1.300 2.380 6.242
O 1.271 2.370 6.253
O 2.826 3.102 8.393
O -0.007 1.449 3.806
O 1.575 2.444 1.504
O 4.110 2.440 1.510
O 2.838 1.595 3.581
O 1.396 0.498 8.467
O 2.843 0.164 1.515
O 4.260 0.500 8.470
```

Values from the calculation:
- Space group: P1
- Formation energy (no corrections): -44.64 eV/f.u.

No. 14
This record from Alexandria via LeMat-Bulk describes CrPbI2N after structural relaxation. The functional is PBEsol.

The structure in extended XYZ format:
```
5
Lattice="-2.022 -0.237 -3.553 -4.203 -3.585 2.632 -3.263 4.946 1.527" Properties=species:S:1:pos:R:3 pbc="T T T"
Pb 0.000 0.000 0.000
I -1.631 2.473 0.764
I -2.101 -1.792 1.316
N -1.011 -0.118 -1.776
Cr -4.744 0.562 0.303
```

Values from the calculation:
- Space group: P4/mmm
- Formation energy (no corrections): 5.57 eV/f.u.

No. 15
This record from Alexandria via LeMat-Bulk describes Ga3RhSe after structural relaxation. The functional is PBEsol.

The structure in extended XYZ format:
```
5
Lattice="-1.546 -2.174 3.887 2.390 -3.877 -1.218 3.758 1.571 2.373" Properties=species:S:1:pos:R:3 pbc="T T T"
Rh 0.000 0.000 0.000
Ga 1.195 -1.938 -0.609
Ga 1.879 0.786 1.186
Ga -0.773 -1.087 1.944
Se 2.301 -2.240 2.521
```

Values from the calculation:
- Space group: Pm-3m
- Formation energy (no corrections): -0.91 eV/f.u.

No. 16
This record from Alexandria via LeMat-Bulk describes TaWIO2 after structural relaxation. The functional is PBEsol.

The structure in extended XYZ format:
```
5
Lattice="-0.485 2.090 -3.274 -3.044 -2.255 -0.988 -3.782 3.798 2.984" Properties=species:S:1:pos:R:3 pbc="T T T"
I -1.891 1.899 1.492
O -1.522 -1.127 -0.494
O -0.243 1.045 -1.637
W -3.655 1.817 -0.639
Ta 0.000 0.000 0.000
```

Values from the calculation:
- Space group: P4/mmm
- Formation energy (no corrections): -0.78 eV/f.u.

No. 17
This record from Alexandria via LeMat-Bulk describes YSc2In after structural relaxation. The functional is PBEsol.

The structure in extended XYZ format:
```
4
Lattice="-0.940 -1.485 2.897 -0.357 -2.950 -1.628 8.162 -1.908 1.669" Properties=species:S:1:pos:R:3 pbc="T T T"
Y 4.167 -0.974 0.852
Sc 8.077 -1.888 1.652
Sc 1.262 -2.664 1.025
In 5.602 -3.679 1.913
```

Values from the calculation:
- ΔE_f: -0.250 eV per atom
- Space group: P4mm

No. 18
This record from Alexandria via LeMat-Bulk describes Ca3Cr2N4 after structural relaxation. The functional is PBEsol.

The structure in extended XYZ format:
```
36
Lattice="-0.507 -5.320 -1.453 8.933 -0.839 -0.045 -0.187 -2.489 9.178" Properties=species:S:1:pos:R:3 pbc="T T T"
Ca 4.839 -4.615 7.170
Ca 5.101 -1.508 1.230
Ca 7.894 -4.429 5.423
Ca 8.085 -2.261 2.945
Ca 3.400 -4.032 0.511
Ca 3.138 -7.139 6.450
Ca 0.346 -4.218 2.257
Ca 0.155 -6.386 4.735
Ca 5.129 -3.076 4.199
Ca 7.924 -2.086 -0.404
Ca 3.110 -5.571 3.481
Ca 0.503 -4.073 -1.094
Cr 2.152 -2.797 4.214
Cr 1.968 -1.527 -0.374
Cr 6.087 -5.850 3.466
Cr 6.459 -4.632 -1.124
Cr 1.916 -3.936 6.364
Cr 2.110 -1.632 2.065
Cr 6.323 -4.711 1.316
Cr 6.129 -7.015 5.615
N 3.169 -2.645 5.747
N 3.108 -3.134 2.671
N 0.881 -2.935 7.608
N 0.895 -2.421 0.833
N 5.070 -6.002 1.933
N 5.132 -5.513 5.009
N 7.358 -5.712 0.072
N 7.345 -6.226 6.847
N 1.101 -4.230 4.665
N 1.382 -1.193 3.772
N 2.583 -5.185 7.642
N 2.986 -0.528 0.779
N 7.138 -4.417 3.015
N 6.857 -7.454 3.908
N 5.656 -3.463 0.038
N 5.254 -8.119 6.901
```

Values from the calculation:
- Space group: Pnna
- Formation energy (no corrections): -8.77 eV/f.u.

No. 19
This record from Alexandria via LeMat-Bulk describes CuIrSe4 after structural relaxation. The functional is PBEsol.

The structure in extended XYZ format:
```
6
Lattice="-2.187 -1.396 -4.713 -3.828 -3.777 -0.176 -5.081 1.370 -1.118" Properties=species:S:1:pos:R:3 pbc="T T T"
Cu -8.323 -2.852 -4.506
Ir 0.000 0.000 0.000
Se -4.157 -1.425 -2.251
Se -6.705 -0.737 -2.811
Se -5.254 -2.125 -4.614
Se -6.077 -3.318 -2.339
```

Values from the calculation:
- Space group: F-43m
- Formation energy (no corrections): 7.22 eV/f.u.

No. 20
This record from Alexandria via LeMat-Bulk describes NaTiO3 after structural relaxation. The functional is PBEsol.

The structure in extended XYZ format:
```
5
Lattice="-1.562 -3.057 -1.761 3.273 -0.536 -1.972 1.318 -2.292 2.810" Properties=species:S:1:pos:R:3 pbc="T T T"
Na 1.514 -2.942 -0.461
O 1.636 -0.268 -0.986
O 0.659 -1.146 1.405
O -0.781 -1.528 -0.880
Ti 0.000 0.000 0.000
```

Values from the calculation:
- Space group: Pm-3m
- Formation energy (no corrections): -11.18 eV/f.u.

No. 21
This record from Alexandria via LeMat-Bulk describes SiHgRh2 after structural relaxation. The functional is PBEsol.

The structure in extended XYZ format:
```
4
Lattice="4.386 0.000 0.000 2.193 3.799 0.000 2.193 1.266 3.581" Properties=species:S:1:pos:R:3 pbc="T T T"
Hg 4.386 2.532 1.791
Rh 0.000 0.000 0.000
Rh 2.193 1.266 0.895
Si 6.579 3.799 2.686
```

Values from the calculation:
- ΔE to the lowest computed polymorph: 0.729 eV/atom
- Space group: F-43m
- Formation energy (no corrections): 0.74 eV/f.u.

No. 22
This record from Alexandria via LeMat-Bulk describes BeCu2Pb after structural relaxation. The functional is PBEsol.

The structure in extended XYZ format:
```
4
Lattice="3.812 0.000 0.000 0.000 3.812 0.000 -1.906 -1.906 3.943" Properties=species:S:1:pos:R:3 pbc="T T T"
Be 0.000 0.000 0.000
Cu 1.906 0.000 1.971
Cu 0.000 1.906 1.971
Pb 1.906 1.906 0.000
```

Values from the calculation:
- ΔE_f: 0.414 eV per atom
- Space group: I4/mmm

Density values, unit g/cm³, following the record order: 5.02; 3.00; 8.74; 6.11; 8.09; 9.46; 6.27; 3.24; 4.38; 11.79; 9.59; 4.08; 5.13; 5.71; 6.20; 9.25; 4.97; 3.94; 8.62; 3.44; 12.09; 9.95.